Model w:
ReNiOs3, optimized geometry, DFT PBE-GGA; N(E_F) = 6.4 states/eV/f.u.; SG = Pm-3m
1.0
4.3338 0.0000 0.0000
0.0000 4.3338 0.0000
0.0000 0.0000 4.3338
Re Ni Os
1 1 3
direct
0.0000 0.0000 0.0000
0.5000 0.5000 0.5000
0.0000 0.5000 0.5000
0.5000 0.0000 0.5000
0.5000 0.5000 0.0000

---

Model x:
ReNiOs3, optimized geometry, DFT PBE-GGA; N(E_F) = 6.9 states/eV/f.u.; SG = Pm-3m
1.0
4.6891 0.0000 0.0000
0.0000 4.6891 0.0000
0.0000 0.0000 4.6891
Re Ni Os
1 1 3
direct
0.0000 0.0000 0.0000
0.5000 0.5000 0.5000
0.0000 0.0000 0.5000
0.0000 0.5000 0.0000
0.5000 0.0000 0.0000

---

Which structure is most stable? model w, by 0.475 eV/atom over the runner-up.